FeCo2Si | PBE | optimized geometry

POSCAR file:
```
FeCo2Si
1.0
3.9478 0.0000 0.0000
0.0000 3.9478 0.0000
0.0000 0.0000 2.8630
Si Co Fe
1 2 1
Cartesian
0.0000 1.9739 1.4315 Si
0.0000 0.0000 0.0000 Co
1.9739 1.9739 0.0000 Co
1.9739 0.0000 1.4315 Fe
```

The density of states at the Fermi level is 2.02 states/eV per cell. The formation energy (no corrections) is -1.2 eV/f.u. The symmetry is P4/mmm. Its volume is 45 Å³ per cell. As for the magnetization: 1.3483 μB/atom. The energy is -7.33 eV per atom.

***

Cu2Pd2Au7 | PBE | optimized geometry

POSCAR file:
```
Cu2Pd2Au7
1.0
4.4090 -0.0014 1.5086
2.1989 6.3870 0.7531
0.1303 -0.2029 6.7925
Cu Au Pd
2 7 2
Cartesian
1.8790 0.9726 1.7048 Cu
4.8592 5.2102 7.3494 Cu
4.7694 2.6279 7.6255 Au
1.0414 0.6004 4.1363 Au
1.9688 3.5548 1.4286 Au
5.6968 5.5824 4.9179 Au
0.0000 0.0000 0.0000 Au
3.0222 4.1085 5.5181 Au
3.7160 2.0742 3.5360 Au
3.9122 4.8214 2.9415 Pd
2.8260 1.3613 6.1126 Pd
```

The value obtained for the energy above the most stable polymorph in this dataset is 0.000 eV per atom. The density of states at the Fermi level is 4.29 states/eV per cell. The symmetry is C2/m. Its volume is 190 Å³ per cell. As for the magnetization: 0.0000 μB/atom. The energy is -3.77 eV per atom.

***

La7Tl2Pd2 | PBE | optimized geometry

POSCAR file:
```
La7Tl2Pd2
1.0
3.8409 0.0000 0.8237
0.9929 8.9365 4.7368
-0.1692 -0.3427 10.1557
La Pd Tl
7 2 2
Cartesian
1.7876 -0.0524 10.3980 La
3.5211 3.2815 11.6814 La
0.5713 0.7436 6.7029 La
1.2625 6.0896 12.8465 La
2.8219 4.1654 5.5751 La
3.1705 0.6550 3.9496 La
2.0759 6.2903 9.0537 La
1.3093 2.8959 3.2616 Pd
3.5686 7.4008 11.4602 Pd
0.7325 6.8568 5.9513 Tl
2.1628 2.9439 8.6482 Tl
```

The value obtained for the energy above the most stable polymorph in this dataset is 0.000 eV per atom. The density of states at the Fermi level is 13.55 states/eV per cell. The symmetry is Imm2. Its volume is 356 Å³ per cell. As for the magnetization: 0.0000 μB/atom. The energy is -4.94 eV per atom.